No. 1
Density functional theory data (PBE) for a relaxed Nd2Sm2Se2S3 crystal.

Lattice parameters (Å, degrees): 5.5003 5.5003 8.4394 109.02 109.02 90.00
Fractional positions:
Nd  0.7972  0.7972  0.5944
Nd  0.2028  0.2028  0.4056
Sm  0.0000  0.5000  0.0000
Sm  0.5000  0.0000  0.0000
S  0.7500  0.2500  0.5000
S  0.2500  0.7500  0.5000
S  0.0000  0.0000  0.0000
Se  0.3984  0.3983  0.7967
Se  0.6016  0.6017  0.2033

Computed properties:
D(E_F) = 4.945 states/eV per cell
SG = I4/mmm, No. 139
formation energy without anion corrections = -1.717 eV per atom

No. 2
Density functional theory data (PBE) for a relaxed Nd2SmSe2S2 crystal.

Lattice parameters (Å, degrees): 5.1977 5.1977 8.3267 108.19 108.19 90.00
Fractional positions:
Nd  0.6214  0.6214  0.2428
Nd  0.3786  0.3786  0.7572
Sm  0.0000  0.0000  0.0000
S  0.0000  0.5000  0.0000
S  0.5000  0.0000  0.0000
Se  0.8106  0.8106  0.6211
Se  0.1894  0.1894  0.3789

Computed properties:
D(E_F) = 2.817 states/eV per cell
SG = I4/mmm, No. 139
formation energy without anion corrections = -1.545 eV per atom

No. 3
Density functional theory data (PBE) for a relaxed Nd6SnSe3S2 crystal.

Lattice parameters (Å, degrees): 4.2127 8.5248 9.5069 103.53 102.80 90.00
Fractional positions:
Se  0.5000  0.5000  0.0000
Se  0.8360  0.1684  0.6719
Se  0.1640  0.8316  0.3281
Sn  0.5000  0.0000  0.0000
S  0.8318  0.6642  0.6635
S  0.1682  0.3358  0.3365
Nd  0.9941  0.7392  0.9881
Nd  0.3281  0.4267  0.6562
Nd  0.6702  0.1004  0.3404
Nd  0.0059  0.2608  0.0119
Nd  0.3298  0.8996  0.6596
Nd  0.6719  0.5733  0.3438

Computed properties:
D(E_F) = 4.684 states/eV per cell
SG = C2/m, No. 12
formation energy without anion corrections = -1.704 eV per atom

No. 4
Density functional theory data (PBE) for a relaxed Nd4SnSe2S crystal.

Lattice parameters (Å, degrees): 8.5675 8.5675 8.5363 119.88 119.88 90.07
Fractional positions:
Nd  0.2372  0.7420  0.4895
Nd  0.7547  0.7453  0.4931
Nd  0.7628  0.2580  0.5105
Nd  0.2453  0.2547  0.9931
Nd  0.7580  0.2628  0.0105
Nd  0.7547  0.7453  0.0069
Nd  0.2453  0.2547  0.5069
Nd  0.2420  0.7372  0.9895
Sn  0.5000  0.5000  0.5000
Sn  0.0000  0.0000  0.0000
S  0.0000  0.5000  0.0000
S  0.0000  0.5000  0.5000
Se  0.5000  0.0000  0.5000
Se  0.0000  0.0000  0.5000
Se  0.5000  0.0000  0.0000
Se  0.5000  0.5000  0.0000

Computed properties:
D(E_F) = 6.865 states/eV per cell
SG = Imma, No. 74
formation energy without anion corrections = -1.597 eV per atom

No. 5
Density functional theory data (PBE) for a relaxed Nd6SnSe2S3 crystal.

Lattice parameters (Å, degrees): 4.1832 8.4596 9.4254 103.30 102.82 90.00
Fractional positions:
S  0.1659  0.8296  0.3318
S  0.5000  0.5000  0.0000
S  0.8341  0.1704  0.6682
Nd  0.9978  0.2653  0.9956
Nd  0.3281  0.9282  0.6561
Nd  0.6719  0.0718  0.3439
Nd  0.0022  0.7347  0.0044
Nd  0.3388  0.4067  0.6776
Nd  0.6612  0.5933  0.3224
Sn  0.5000  0.0000  0.0000
Se  0.1696  0.3365  0.3392
Se  0.8304  0.6635  0.6608

Computed properties:
D(E_F) = 4.854 states/eV per cell
SG = C2/m, No. 12
formation energy without anion corrections = -1.738 eV per atom

No. 6
Density functional theory data (PBE) for a relaxed SrNdSeS crystal.

Lattice parameters (Å, degrees): 4.2000 4.2000 7.4770 73.69 73.69 60.00
Fractional positions:
S  0.2471  0.2471  0.2586
Sr  0.9960  0.9960  0.0120
Nd  0.5038  0.5038  0.4885
Se  0.7530  0.7530  0.7409

Computed properties:
D(E_F) = 1.501 states/eV per cell
SG = R3m, No. 160
formation energy without anion corrections = -1.982 eV per atom

No. 7
Density functional theory data (PBE) for a relaxed TbNd2Se2S2 crystal.

Lattice parameters (Å, degrees): 5.1036 5.1036 8.3047 107.89 107.89 90.00
Fractional positions:
S  0.5000  0.0000  0.0000
S  0.0000  0.5000  0.0000
Tb  0.0000  0.0000  0.0000
Se  0.1869  0.1869  0.3737
Se  0.8131  0.8131  0.6263
Nd  0.3773  0.3773  0.7546
Nd  0.6227  0.6227  0.2454

Computed properties:
D(E_F) = 2.813 states/eV per cell
SG = I4/mmm, No. 139
formation energy without anion corrections = -1.609 eV per atom

No. 8
Density functional theory data (PBE) for a relaxed Tb2Nd2Se3S2 crystal.

Lattice parameters (Å, degrees): 5.6601 5.6601 8.2682 110.02 110.02 90.00
Fractional positions:
S  0.4029  0.4029  0.8059
S  0.5971  0.5971  0.1941
Tb  0.5000  0.0000  0.0000
Tb  0.0000  0.5000  0.0000
Se  0.0000  0.0000  0.0000
Se  0.2500  0.7500  0.5000
Se  0.7500  0.2500  0.5000
Nd  0.7879  0.7879  0.5758
Nd  0.2121  0.2121  0.4242

Computed properties:
D(E_F) = 5.812 states/eV per cell
SG = I4/mmm, No. 139
formation energy without anion corrections = -1.557 eV per atom